Record 1
KTc2Sb | Alexandria | GGA-PBE | optimized geometry; E_form (uncorrected) = 0.625 eV per atom; space-group type = C2/m; total magnetic moment = 0.000 μB per formula unit
1.0
4.910 -1.795 0.000
4.910 1.795 0.000
-1.077 0.000 6.218
K Tc Sb
1 2 1
direct
0.000 0.000 0.000
0.235 0.235 0.609
0.765 0.765 0.391
0.500 0.500 0.500



Record 2
VReN2 | Alexandria | GGA-PBE | optimized geometry; E above lowest polymorph = 505.2 meV/atom; E_form (uncorrected) = 0.314 eV per atom; space-group type = Fm-3m; total magnetic moment = 1.721 μB per formula unit
1.0
0.000 2.638 2.638
2.638 0.000 2.638
2.638 2.638 0.000
V Re N
1 1 2
direct
0.000 0.000 0.000
0.500 0.500 0.500
0.250 0.250 0.250
0.750 0.750 0.750



Record 3
AcMgIn4 | Alexandria | GGA-PBE | optimized geometry; E above lowest polymorph = 0.0 meV/atom; space-group type = Cmmm; total magnetic moment = 0.000 μB per formula unit; E_form = -0.2001 eV per atom
1.0
2.474 -6.695 0.000
2.474 6.695 0.000
0.000 0.000 5.124
Ac Mg In
1 1 4
direct
0.000 0.000 0.000
0.500 0.500 0.500
0.170 0.830 0.500
0.318 0.682 0.000
0.682 0.318 0.000
0.830 0.170 0.500



What is the formula in the third record?
AcMgIn4